Computed, not measured: a geometry-optimized Y4Ta2Fe3N3 structure at the GGA-PBE level of DFT.

a = 5.758 Å, b = 5.758 Å, c = 14.151 Å
α = 101.36°, β = 101.36°, γ = 60.18°
Sites, in units of the cell vectors:
Y 0.043 0.192 0.108
Y 0.122 0.300 0.392
Y 0.192 0.043 0.608
Y 0.300 0.122 0.892
Y 0.700 0.878 0.108
Y 0.808 0.957 0.392
Y 0.878 0.700 0.608
Y 0.957 0.808 0.892
Ta 0.345 0.524 0.075
Ta 0.476 0.655 0.425
Ta 0.524 0.345 0.575
Ta 0.655 0.476 0.925
Fe 0.191 0.582 0.248
Fe 0.359 0.641 0.750
Fe 0.418 0.809 0.252
Fe 0.582 0.191 0.748
Fe 0.641 0.359 0.250
Fe 0.809 0.418 0.752
N 0.000 0.500 0.000
N 0.189 0.655 0.500
N 0.345 0.811 0.000
N 0.500 0.000 0.500
N 0.655 0.189 0.000
N 0.811 0.345 0.500

Computed properties:
Volume, Å³/cell: 396.3
VASP energy, eV per atom: -8.89
SG: No. 15